VASP calculation (PBE) on a relaxed LiLaIn2Hg5 crystal.

Geometry as POSCAR:
```
LiLaIn2Hg5
1.0
4.854 0.000 0.000
0.000 6.706 0.000
-2.427 -3.353 7.469
Hg In La Li
5 2 1 1
Direct
0.000 0.000 0.000
0.632 0.403 0.263
0.368 0.140 0.737
0.368 0.597 0.737
0.632 0.860 0.263
0.806 0.806 0.613
0.194 0.194 0.387
0.000 0.500 0.000
0.500 0.000 0.000
```

SG	Immm, No. 71
formation energy	-138	meV per atom
E	-15.1	eV per formula unit